[1]
Material: Cd4AgPd
Method: DFT, GGA-PBE
State: relaxed

Cell: 12.370 3.121 6.311 Å, 90.00 105.11 90.00°
Space group C2/m (No. 12)
Unique sites:
Cd 0.155 0.000 0.336 (multiplicity 4)
Cd 0.159 0.000 0.823 (multiplicity 4)
Ag 0.000 0.500 0.000 (multiplicity 2)
Pd 0.000 0.500 0.500 (multiplicity 2)

Computed properties:
- Size of the total moment: 0.00 μB per atom
- Mass density: 9373 kg/m3
- Raw total energy: -2.10 eV per atom
- DFT formation energy: -0.910 eV/f.u.

[2]
Material: CdAg2Pd4
Method: DFT, GGA-PBE
State: relaxed

Cell: 8.634 6.791 5.340 Å, 90.00 128.04 90.00°
Space group C2/m (No. 12)
Unique sites:
Cd 0.000 0.000 0.000 (multiplicity 2)
Ag 0.001 0.500 0.751 (multiplicity 4)
Pd 0.202 0.202 0.702 (multiplicity 8)

Computed properties:
- Size of the total moment: 0.00 μB per atom
- Mass density: 10153 kg/m3
- Raw total energy: -3.92 eV per atom
- DFT formation energy: -0.018 eV/f.u.

[3]
Material: CdAg3Pd
Method: DFT, GGA-PBE
State: relaxed

Cell: 2.985 24.215 4.923 Å, 90.00 90.00 90.00°
Space group Ama2 (No. 40)
Unique sites:
Cd 0.250 0.151 0.000 (multiplicity 4)
Ag 0.250 0.051 0.350 (multiplicity 4)
Ag 0.250 0.249 0.653 (multiplicity 4)
Ag 0.250 0.450 0.346 (multiplicity 4)
Pd 0.250 0.350 0.998 (multiplicity 4)

Computed properties:
- Size of the total moment: 0.00 μB per atom
- Mass density: 10127 kg/m3
- Raw total energy: -3.04 eV per atom
- DFT formation energy: -0.514 eV/f.u.

[4]
Material: CdAgPd4
Method: DFT, GGA-PBE
State: relaxed

Cell: 7.479 7.479 7.479 Å, 90.00 90.00 90.00°
Space group F-43m (No. 216)
Unique sites:
Cd 0.000 0.000 0.000 (multiplicity 4)
Ag 0.250 0.250 0.250 (multiplicity 4)
Pd 0.125 0.125 0.625 (multiplicity 16)

Computed properties:
- Size of the total moment: 0.00 μB per atom
- Mass density: 10257 kg/m3
- Raw total energy: -4.12 eV per atom
- DFT formation energy: -0.167 eV/f.u.

[5]
Material: CdAg2Pd9
Method: DFT, GGA-PBE
State: relaxed

Cell: 4.010 4.010 11.982 Å, 90.00 90.00 90.00°
Space group P4/mmm (No. 123)
Unique sites:
Cd 0.000 0.000 0.000 (multiplicity 1)
Ag 0.000 0.000 0.334 (multiplicity 2)
Pd 0.000 0.500 0.168 (multiplicity 4)
Pd 0.000 0.500 0.500 (multiplicity 2)
Pd 0.500 0.500 0.000 (multiplicity 1)
Pd 0.500 0.500 0.335 (multiplicity 2)

Computed properties:
- Size of the total moment: 0.00 μB per atom
- Mass density: 11081 kg/m3
- Raw total energy: -4.53 eV per atom
- DFT formation energy: -1.018 eV/f.u.

[6]
Material: Cd6AgPd2
Method: DFT, GGA-PBE
State: relaxed

Cell: 9.315 4.267 9.050 Å, 90.00 106.72 90.00°
Space group C2/m (No. 12)
Unique sites:
Cd 0.002 0.000 0.321 (multiplicity 4)
Cd 0.165 0.500 0.895 (multiplicity 4)
Cd 0.169 0.500 0.560 (multiplicity 4)
Ag 0.000 0.000 0.000 (multiplicity 2)
Pd 0.173 0.500 0.225 (multiplicity 4)

Computed properties:
- Size of the total moment: 0.00 μB per atom
- Mass density: 9593 kg/m3
- Raw total energy: -2.27 eV per atom
- DFT formation energy: -1.726 eV/f.u.

[7]
Material: Cd2AgPd8
Method: DFT, GGA-PBE
State: relaxed

Cell: 7.305 14.195 4.854 Å, 90.00 130.33 90.00°
Space group C2/m (No. 12)
Unique sites:
Cd 0.000 0.185 0.000 (multiplicity 4)
Ag 0.000 0.500 0.500 (multiplicity 2)
Pd 0.000 0.305 0.500 (multiplicity 4)
Pd 0.048 0.000 0.294 (multiplicity 4)
Pd 0.239 0.364 0.222 (multiplicity 8)

Computed properties:
- Size of the total moment: 0.00 μB per atom
- Mass density: 10248 kg/m3
- Raw total energy: -4.22 eV per atom
- DFT formation energy: -0.215 eV/f.u.

[8]
Material: Cd12Ag5Pd2
Method: DFT, GGA-PBE
State: relaxed

Cell: 19.733 8.809 4.503 Å, 90.00 103.04 90.00°
Space group C2/m (No. 12)
Unique sites:
Cd 0.080 0.000 0.080 (multiplicity 4)
Cd 0.087 0.230 0.586 (multiplicity 8)
Cd 0.099 0.500 0.098 (multiplicity 4)
Cd 0.198 0.240 0.198 (multiplicity 8)
Ag 0.000 0.500 0.500 (multiplicity 2)
Ag 0.197 0.500 0.695 (multiplicity 4)
Ag 0.200 0.000 0.701 (multiplicity 4)
Pd 0.000 0.269 0.000 (multiplicity 4)

Computed properties:
- Size of the total moment: 0.00 μB per atom
- Mass density: 9151 kg/m3
- Raw total energy: -1.99 eV per atom
- DFT formation energy: -2.178 eV/f.u.

[9]
Material: Cd7Ag4Pd
Method: DFT, GGA-PBE
State: relaxed

Cell: 13.426 5.124 8.071 Å, 90.00 115.29 90.00°
Space group C2/m (No. 12)
Unique sites:
Cd 0.000 0.000 0.000 (multiplicity 2)
Cd 0.076 0.500 0.409 (multiplicity 4)
Cd 0.169 0.500 0.844 (multiplicity 4)
Cd 0.227 0.500 0.231 (multiplicity 4)
Ag 0.048 0.000 0.691 (multiplicity 4)
Ag 0.184 0.000 0.369 (multiplicity 4)
Pd 0.000 0.500 0.000 (multiplicity 2)

Computed properties:
- Size of the total moment: 0.00 μB per atom
- Mass density: 8764 kg/m3
- Raw total energy: -1.91 eV per atom
- DFT formation energy: 0.048 eV/f.u.

[10]
Material: Cd6AgPd5
Method: DFT, GGA-PBE
State: relaxed

Cell: 9.129 9.252 5.258 Å, 90.00 101.75 90.00°
Space group C2/m (No. 12)
Unique sites:
Cd 0.244 0.000 0.250 (multiplicity 4)
Cd 0.245 0.169 0.747 (multiplicity 8)
Ag 0.000 0.500 0.000 (multiplicity 2)
Pd 0.000 0.000 0.500 (multiplicity 2)
Pd 0.000 0.169 0.000 (multiplicity 4)
Pd 0.000 0.338 0.500 (multiplicity 4)

Computed properties:
- Size of the total moment: 0.00 μB per atom
- Mass density: 10040 kg/m3
- Raw total energy: -3.10 eV per atom
- DFT formation energy: -2.856 eV/f.u.

[11]
Material: CdAg2Pd2
Method: DFT, GGA-PBE
State: relaxed

Cell: 7.737 7.737 3.038 Å, 90.00 90.00 90.00°
Space group P4/mbm (No. 127)
Unique sites:
Cd 0.000 0.000 0.000 (multiplicity 2)
Ag 0.129 0.371 0.000 (multiplicity 4)
Pd 0.168 0.668 0.500 (multiplicity 4)

Computed properties:
- Size of the total moment: 0.00 μB per atom
- Mass density: 9878 kg/m3
- Raw total energy: -3.40 eV per atom
- DFT formation energy: 0.027 eV/f.u.

[12]
Material: Cd3Ag5Pd
Method: DFT, GGA-PBE
State: relaxed

Cell: 11.754 7.911 9.012 Å, 90.00 94.11 90.00°
Space group C2/m (No. 12)
Unique sites:
Cd 0.000 0.000 0.000 (multiplicity 2)
Cd 0.000 0.000 0.500 (multiplicity 2)
Cd 0.193 0.500 0.178 (multiplicity 4)
Cd 0.216 0.500 0.521 (multiplicity 4)
Ag 0.000 0.334 0.000 (multiplicity 4)
Ag 0.002 0.500 0.345 (multiplicity 4)
Ag 0.101 0.184 0.749 (multiplicity 8)
Ag 0.188 0.500 0.864 (multiplicity 4)
Pd 0.113 0.000 0.262 (multiplicity 4)

Computed properties:
- Size of the total moment: 0.00 μB per atom
- Mass density: 7811 kg/m3
- Raw total energy: -2.27 eV per atom
- DFT formation energy: 1.754 eV/f.u.

[13]
Material: Cd5AgPd6
Method: DFT, GGA-PBE
State: relaxed

Cell: 4.296 7.477 6.808 Å, 90.00 108.30 90.00°
Space group P2/m (No. 10)
Unique sites:
Cd 0.000 0.000 0.000 (multiplicity 1)
Cd 0.333 0.000 0.666 (multiplicity 2)
Cd 0.338 0.500 0.675 (multiplicity 2)
Ag 0.000 0.500 0.000 (multiplicity 1)
Pd 0.168 0.251 0.335 (multiplicity 4)
Pd 0.500 0.247 0.000 (multiplicity 2)

Computed properties:
- Size of the total moment: 0.00 μB per atom
- Mass density: 10465 kg/m3
- Raw total energy: -3.58 eV per atom
- DFT formation energy: -4.330 eV/f.u.

[14]
Material: Cd2Ag2Pd5
Method: DFT, GGA-PBE
State: relaxed

Cell: 12.272 4.058 6.405 Å, 90.00 108.79 90.00°
Space group C2/m (No. 12)
Unique sites:
Cd 0.052 0.000 0.322 (multiplicity 4)
Ag 0.224 0.500 0.329 (multiplicity 4)
Pd 0.000 0.500 0.000 (multiplicity 2)
Pd 0.111 0.500 0.668 (multiplicity 4)
Pd 0.169 0.000 0.001 (multiplicity 4)

Computed properties:
- Size of the total moment: 0.00 μB per atom
- Mass density: 10695 kg/m3
- Raw total energy: -3.92 eV per atom
- DFT formation energy: -1.810 eV/f.u.

[15]
Material: Cd2AgPd2
Method: DFT, GGA-PBE
State: relaxed

Cell: 4.344 14.445 5.720 Å, 90.00 90.00 90.00°
Space group Cmc2_1 (No. 36)
Unique sites:
Cd 0.000 0.092 0.000 (multiplicity 4)
Cd 0.000 0.301 0.773 (multiplicity 4)
Ag 0.000 0.107 0.507 (multiplicity 4)
Pd 0.000 0.312 0.276 (multiplicity 4)
Pd 0.000 0.495 0.746 (multiplicity 4)

Computed properties:
- Size of the total moment: 0.00 μB per atom
- Mass density: 10095 kg/m3
- Raw total energy: -3.24 eV per atom
- DFT formation energy: -1.123 eV/f.u.

[16]
Material: Cd3Ag2Pd8
Method: DFT, GGA-PBE
State: relaxed

Cell: 5.2141 5.2141 30.3932 Å, 90.00 90.00 120.00°
Space group R-3m (No. 166, hexagonal axes)
Unique sites:
Cd 0.0000 0.0000 0.0000 (multiplicity 3)
Cd 0.0000 0.0000 0.1823 (multiplicity 6)
Ag 0.0000 0.0000 0.3588 (multiplicity 6)
Pd 0.0000 0.0000 0.2716 (multiplicity 6)
Pd 0.0009 0.5004 0.7688 (multiplicity 18)

Computed properties:
- Size of the total moment: 0.00 μB per atom
- Mass density: 9776 kg/m3
- Raw total energy: -3.86 eV per atom
- DFT formation energy: -0.138 eV/f.u.

[17]
Material: CdAg6Pd5
Method: DFT, GGA-PBE
State: relaxed

Cell: 4.070 12.211 8.145 Å, 90.00 90.21 90.00°
Space group C2/m (No. 12)
Unique sites:
Cd 0.000 0.000 0.000 (multiplicity 2)
Ag 0.000 0.168 0.253 (multiplicity 8)
Ag 0.000 0.500 0.257 (multiplicity 4)
Pd 0.000 0.000 0.500 (multiplicity 2)
Pd 0.000 0.333 0.500 (multiplicity 4)
Pd 0.000 0.334 0.000 (multiplicity 4)

Computed properties:
- Size of the total moment: 0.00 μB per atom
- Mass density: 10598 kg/m3
- Raw total energy: -3.75 eV per atom
- DFT formation energy: -0.992 eV/f.u.

[18]
Material: Cd2Ag3Pd
Method: DFT, GGA-PBE
State: relaxed

Cell: 12.685 4.083 9.477 Å, 90.00 116.68 90.00°
Space group C2/m (No. 12)
Unique sites:
Cd 0.032 0.000 0.371 (multiplicity 4)
Cd 0.210 0.500 0.368 (multiplicity 4)
Ag 0.044 0.500 0.875 (multiplicity 4)
Ag 0.125 0.000 0.120 (multiplicity 4)
Ag 0.210 0.000 0.876 (multiplicity 4)
Pd 0.127 0.500 0.618 (multiplicity 4)

Computed properties:
- Size of the total moment: 0.00 μB per atom
- Mass density: 9918 kg/m3
- Raw total energy: -2.72 eV per atom
- DFT formation energy: -0.742 eV/f.u.

[19]
Material: Cd2AgPd7
Method: DFT, GGA-PBE
State: relaxed

Cell: 8.582 16.004 2.771 Å, 90.00 90.00 90.00°
Space group Cmmm (No. 65)
Unique sites:
Cd 0.000 0.179 0.000 (multiplicity 4)
Ag 0.000 0.500 0.500 (multiplicity 2)
Pd 0.000 0.000 0.000 (multiplicity 2)
Pd 0.000 0.327 0.500 (multiplicity 4)
Pd 0.231 0.410 0.000 (multiplicity 8)

Computed properties:
- Size of the total moment: 0.00 μB per atom
- Mass density: 9402 kg/m3
- Raw total energy: -3.97 eV per atom
- DFT formation energy: 1.338 eV/f.u.

[20]
Material: Cd2Ag3Pd4
Method: DFT, GGA-PBE
State: relaxed

Cell: 4.131 4.917 8.680 Å, 75.17 89.87 65.25°
Space group P-1 (No. 2)
Unique sites:
Cd 0.170 0.161 0.218 (multiplicity 2)
Ag 0.163 0.174 0.556 (multiplicity 2)
Ag 0.500 0.500 0.000 (multiplicity 1)
Pd 0.164 0.172 0.887 (multiplicity 2)
Pd 0.496 0.507 0.666 (multiplicity 2)

Computed properties:
- Size of the total moment: 0.00 μB per atom
- Mass density: 10526 kg/m3
- Raw total energy: -3.66 eV per atom
- DFT formation energy: -1.804 eV/f.u.

[21]
Material: Cd5Ag4Pd
Method: DFT, GGA-PBE
State: relaxed

Cell: 3.377 3.377 16.662 Å, 90.00 90.00 90.00°
Space group P4/mmm (No. 123)
Unique sites:
Cd 0.000 0.000 0.000 (multiplicity 1)
Cd 0.000 0.000 0.203 (multiplicity 2)
Cd 0.000 0.000 0.407 (multiplicity 2)
Ag 0.500 0.500 0.101 (multiplicity 2)
Ag 0.500 0.500 0.305 (multiplicity 2)
Pd 0.500 0.500 0.500 (multiplicity 1)

Computed properties:
- Size of the total moment: 0.00 μB per atom
- Mass density: 9610 kg/m3
- Raw total energy: -2.24 eV per atom
- DFT formation energy: -1.178 eV/f.u.